Entry 1:
DFT (PBE) results for crystalline Sc2SnBi at its relaxed geometry.

Geometry as POSCAR:
```
Sc2SnBi
1.0
-4.969 -0.715 1.329
-3.674 -0.143 -3.667
-2.370 -4.481 -1.127
Sc Bi Sn
2 1 1
Direct
0.250 0.250 0.250 Sc
0.750 0.750 0.750 Sc
0.500 0.500 0.500 Bi
0.000 0.000 0.000 Sn
```

Output
V   99.0 Å³/cell
Energy   -22.1 eV for the cell shown

=====

Entry 2:
DFT (PBE) results for crystalline Pr8AsP3Se4 at its relaxed geometry.

Geometry as POSCAR:
```
Pr8AsP3Se4
1.0
-2.262 -6.473 -4.954
6.354 1.915 -5.404
1.722 -1.330 8.175
Pr As P Se
8 1 3 4
Direct
0.247 0.734 0.987 Pr
0.247 0.734 0.494 Pr
0.256 0.269 0.513 Pr
0.740 0.734 0.987 Pr
0.260 0.266 0.013 Pr
0.744 0.731 0.487 Pr
0.753 0.266 0.506 Pr
0.753 0.266 0.013 Pr
0.000 0.500 0.000 As
0.500 0.500 0.000 P
0.500 0.500 0.500 P
0.000 0.500 0.500 P
0.500 0.000 0.000 Se
0.500 0.000 0.500 Se
0.000 0.000 0.000 Se
0.000 0.000 0.500 Se
```

Output
V   435.5 Å³/cell
Formation energy from raw total energies   -28.13 eV per formula unit

=====

Entry 3:
DFT (PBE) results for crystalline Cs2RbNa2 at its relaxed geometry.

Geometry as POSCAR:
```
Cs2RbNa2
1.0
-3.932 2.827 -1.338
-2.150 -4.004 -2.142
-10.051 -3.995 11.667
Cs Na Rb
2 2 1
Direct
0.371 0.371 0.258 Cs
0.629 0.629 0.742 Cs
0.750 0.250 0.500 Na
0.250 0.750 0.500 Na
0.000 0.000 0.000 Rb
```

Output
V   391.4 Å³/cell
Energy   -5.1 eV for the cell shown

=====

Entry 4:
DFT (PBE) results for crystalline LiCaNdTl at its relaxed geometry.

Geometry as POSCAR:
```
LiCaNdTl
1.0
5.446 0.000 0.000
2.723 4.717 0.000
2.723 1.572 4.447
Tl Nd Ca Li
1 1 1 1
Direct
0.500 0.500 0.500 Tl
0.750 0.750 0.750 Nd
0.250 0.250 0.250 Ca
0.000 0.000 0.000 Li
```

Output
V   114.2 Å³/cell
Energy   -12.1 eV for the cell shown

=====

Entry 5:
DFT (PBE) results for crystalline K2SrRuO at its relaxed geometry.

Geometry as POSCAR:
```
K2SrRuO
1.0
-3.442 2.384 5.812
-3.860 -2.816 -1.131
2.784 -5.362 3.848
Ru K O Sr
1 2 1 1
Direct
0.000 0.500 0.000 Ru
0.000 0.000 0.500 K
0.500 0.000 0.000 K
0.500 0.500 0.500 O
0.000 0.000 0.000 Sr
```

Output
V   251.9 Å³/cell
Formation energy from raw total energies   5.86 eV per formula unit

=====

Entry 6:
DFT (PBE) results for crystalline Nd15Sm2Mg2 at its relaxed geometry.

Geometry as POSCAR:
```
Nd15Sm2Mg2
1.0
-2.750 -3.834 -7.488
5.291 -7.095 -0.093
-5.529 -6.048 3.345
Nd Sm Mg
15 2 2
Direct
0.000 0.500 0.000 Nd
0.000 0.000 0.500 Nd
0.500 0.000 0.000 Nd
0.296 0.000 0.704 Nd
0.704 0.296 0.000 Nd
0.000 0.704 0.296 Nd
0.296 0.704 0.000 Nd
0.000 0.296 0.704 Nd
0.704 0.000 0.296 Nd
0.368 0.844 0.368 Nd
0.368 0.368 0.844 Nd
0.844 0.368 0.368 Nd
0.632 0.156 0.632 Nd
0.632 0.632 0.156 Nd
0.156 0.632 0.632 Nd
0.684 0.684 0.684 Sm
0.316 0.316 0.316 Sm
0.907 0.907 0.907 Mg
0.093 0.093 0.093 Mg
```

Output
V   666.0 Å³/cell
Energy   -80.2 eV for the cell shown

=====

Entry 7:
DFT (PBE) results for crystalline TbYPd4 at its relaxed geometry.

Geometry as POSCAR:
```
TbYPd4
1.0
3.936 0.000 -0.001
0.000 3.939 -0.001
0.002 0.003 8.525
Tb Y Pd
1 1 4
Direct
0.001 0.997 0.498 Tb
0.501 0.497 0.998 Y
0.501 0.997 0.249 Pd
0.501 0.997 0.747 Pd
0.001 0.497 0.747 Pd
0.001 0.497 0.249 Pd
```

Output
V   132.1 Å³/cell
Energy   -35.4 eV for the cell shown

=====

Entry 8:
DFT (PBE) results for crystalline CaLa2ZrOs at its relaxed geometry.

Geometry as POSCAR:
```
CaLa2ZrOs
1.0
5.609 0.000 0.000
0.000 5.609 0.000
0.000 0.000 4.685
Ca Os Zr La
1 1 1 2
Direct
0.000 0.000 0.000 Ca
0.000 0.000 0.500 Os
0.500 0.500 0.500 Zr
0.000 0.500 0.000 La
0.500 0.000 0.000 La
```

Output
V   147.4 Å³/cell
Energy   -24.2 eV for the cell shown

=====

Entry 9:
DFT (PBE) results for crystalline MnGa6Tc at its relaxed geometry.

Geometry as POSCAR:
```
MnGa6Tc
1.0
-3.191 -1.603 5.696
-4.816 -4.686 -0.051
1.076 -5.959 2.892
Mn Ga Tc
1 6 1
Direct
0.000 0.000 0.000 Mn
0.246 0.245 0.755 Ga
0.754 0.245 0.755 Ga
0.754 0.246 0.245 Ga
0.246 0.755 0.245 Ga
0.754 0.755 0.245 Ga
0.246 0.754 0.755 Ga
0.500 0.500 0.500 Tc
```

Output
V   214.2 Å³/cell
Energy   -36.0 eV for the cell shown

=====

Question: Which of these has the highest V?
Answer: Nd15Sm2Mg2

=====

Question: What is the V in the second record?
Answer: 435.5 Å³/cell